# ScSn2 (GGA-PBEsol, optimized geometry)
# DFT total energy (eV/atom): -5.59
# Total magnetic moment (μB per cell): 0.001
data_ScSn2
_chemical_formula_sum 'Sc8 Sn16'
_symmetry_space_group_name_H-M 'I 41/a m d'
_symmetry_Int_Tables_number 141
_cell_length_a 4.212
_cell_length_b 4.212
_cell_length_c 30.599
_cell_angle_alpha 90.00
_cell_angle_beta 90.00
_cell_angle_gamma 90.00
loop_
_symmetry_equiv_pos_as_xyz
'x,y,z'
'-x,-y,-z'
'-y+1/4,x+3/4,z+1/4'
'y+1/4,-x+3/4,-z+1/4'
'-x+1/2,-y,z+1/2'
'x+1/2,y,-z+1/2'
'y+1/4,-x+1/4,z+3/4'
'-y+1/4,x+1/4,-z+3/4'
'x,-y,-z'
'-x,y,z'
'-y+1/4,-x+1/4,-z+3/4'
'y+1/4,x+1/4,z+3/4'
'-x+1/2,y,-z+1/2'
'x+1/2,-y,z+1/2'
'y+1/4,x+3/4,-z+1/4'
'-y+1/4,-x+3/4,z+1/4'
'x+1/2,y+1/2,z+1/2'
'-x+1/2,-y+1/2,-z+1/2'
'-y+3/4,x+1/4,z+3/4'
'y+3/4,-x+1/4,-z+3/4'
'-x,-y+1/2,z'
'x,y+1/2,-z'
'y+3/4,-x+3/4,z+1/4'
'-y+3/4,x+3/4,-z+1/4'
'x+1/2,-y+1/2,-z+1/2'
'-x+1/2,y+1/2,z+1/2'
'-y+3/4,-x+3/4,-z+1/4'
'y+3/4,x+3/4,z+1/4'
'-x,y+1/2,-z'
'x,-y+1/2,z'
'y+3/4,x+1/4,-z+3/4'
'-y+3/4,-x+1/4,z+3/4'
loop_
_atom_site_label
_atom_site_fract_x
_atom_site_fract_y
_atom_site_fract_z
Sc1 0.000 0.250 0.048
Sn1 0.000 0.250 0.216
Sn2 0.000 0.250 0.375
Sn3 0.000 0.250 0.875